Here is crystalline Pt2AuSe at its relaxed geometry from Alexandria via LeMat-Bulk. Energies are from PBEsol.

It has space group Cmm2 (No. 35), with a = 4.021 Å, b = 4.028 Å, c = 8.174 Å, α = 90.00°, β = 90.00° and γ = 90.00°. Symmetry generates all atoms from Pt at (0.000, 0.000, 0.000), Pt at (0.000, 0.500, 0.236), Au at (0.000, 0.000, 0.482) and Se at (0.000, 0.500, 0.779).

For the total energy, the calculation gives -5.24 eV per atom. Its calculated density is 16.71 g/cm3. The calculation puts the magnetization at 0.0 μB per cell.

Here is crystalline LaZr2Pd at its relaxed geometry from Alexandria via LeMat-Bulk. Energies are from PBEsol.

It has space group Fm-3m (No. 225), with a = 6.858 Å, b = 6.858 Å, c = 6.858 Å, α = 90.00°, β = 90.00° and γ = 90.00°. Symmetry generates all atoms from La at (0.000, 0.000, 0.000), Zr at (0.250, 0.250, 0.250) and Pd at (0.000, 0.000, 0.500).

The calculated formation energy comes out at -0.109 eV/atom. Its calculated density is 8.81 g/cm3. The calculation puts the magnetization at 0.0 μB per cell.

Here is crystalline KFeSi2 at its relaxed geometry from Alexandria via LeMat-Bulk. Energies are from PBEsol.

It has space group C2/m (No. 12), with a = 7.574 Å, b = 2.856 Å, c = 6.969 Å, α = 90.00°, β = 97.26° and γ = 90.00°. Symmetry generates all atoms from K at (0.000, 0.000, 0.000), Fe at (0.000, 0.500, 0.500) and Si at (0.227, 0.000, 0.638).

Its calculated density is 3.36 g/cm3. For the energy above the lowest structure with this stoichiometry, the calculation gives 0 meV/atom. The calculation puts the magnetization at 2.1 μB per cell.

Here is crystalline TbGaRh2 at its relaxed geometry from Alexandria via LeMat-Bulk. Energies are from PBEsol.

It has space group Fm-3m (No. 225), with a = 6.361 Å, b = 6.361 Å, c = 6.361 Å, α = 90.00°, β = 90.00° and γ = 90.00°. Symmetry generates all atoms from Tb at (0.000, 0.000, 0.000), Ga at (0.000, 0.000, 0.500) and Rh at (0.250, 0.250, 0.250).

The calculated formation energy comes out at -0.789 eV/atom. Its calculated density is 11.21 g/cm3. The calculation puts the magnetization at 0.0 μB per cell.

Here is crystalline ZrSc at its relaxed geometry from Alexandria via LeMat-Bulk. Energies are from PBEsol.

It has space group Pmma (No. 51), with a = 5.061 Å, b = 3.180 Å, c = 5.617 Å, α = 90.00°, β = 90.00° and γ = 90.00°. Symmetry generates all atoms from Zr at (0.250, 0.000, 0.163) and Sc at (0.250, 0.500, 0.662).

The calculated formation energy comes out at -0.007 eV/atom. Its calculated density is 5.00 g/cm3. The calculation puts the magnetization at 0.0 μB per cell.

Here is crystalline AsIBr2F at its relaxed geometry from Alexandria via LeMat-Bulk. Energies are from PBEsol.

It has space group P4/mmm (No. 123), with a = 5.465 Å, b = 5.465 Å, c = 5.741 Å, α = 90.00°, β = 90.00° and γ = 90.00°. Symmetry generates all atoms from As at (0.000, 0.000, 0.000), I at (0.000, 0.000, 0.500), Br at (0.000, 0.500, 0.500) and F at (0.500, 0.500, 0.000).

For the total energy, the calculation gives -1.97 eV per atom. Its calculated density is 3.69 g/cm3. The calculation puts the magnetization at 1.4 μB per cell.

Here is crystalline BaHfSe2 at its relaxed geometry from Alexandria via LeMat-Bulk. Energies are from PBEsol.

It has space group I-42d (No. 122), with a = 6.207 Å, b = 6.207 Å, c = 14.203 Å, α = 90.00°, β = 90.00° and γ = 90.00°. Symmetry generates all atoms from Ba at (0.000, 0.000, 0.000), Hf at (0.000, 0.000, 0.500) and Se at (0.151, 0.250, 0.625).

Its calculated density is 5.75 g/cm3. For the energy above the lowest structure with this stoichiometry, the calculation gives 85 meV/atom. The calculation puts the magnetization at 0.0 μB per cell.

Here is crystalline LiZrRe2 at its relaxed geometry from Alexandria via LeMat-Bulk. Energies are from PBEsol.

It has space group Pm (No. 6), with a = 2.716 Å, b = 4.357 Å, c = 5.399 Å, α = 90.00°, β = 100.88° and γ = 90.00°. Symmetry generates all atoms from Li at (0.000, 0.000, 0.000), Zr at (0.313, 0.500, 0.756), Re at (0.600, 0.000, 0.455) and Re at (0.852, 0.500, 0.265).

The calculated formation energy comes out at 0.130 eV/atom. Its calculated density is 12.45 g/cm3. For the energy above the lowest structure with this stoichiometry, the calculation gives 32 meV/atom. The calculation puts the magnetization at 0.0 μB per cell.

Copy entry 8 word for word.
Here is crystalline LiZrRe2 at its relaxed geometry from Alexandria via LeMat-Bulk. Energies are from PBEsol.

It has space group Pm (No. 6), with a = 2.716 Å, b = 4.357 Å, c = 5.399 Å, α = 90.00°, β = 100.88° and γ = 90.00°. Symmetry generates all atoms from Li at (0.000, 0.000, 0.000), Zr at (0.313, 0.500, 0.756), Re at (0.600, 0.000, 0.455) and Re at (0.852, 0.500, 0.265).

The calculated formation energy comes out at 0.130 eV/atom. Its calculated density is 12.45 g/cm3. For the energy above the lowest structure with this stoichiometry, the calculation gives 32 meV/atom. The calculation puts the magnetization at 0.0 μB per cell.

Question: Among the records above, which one has the highest calculated density?
Answer: Pt2AuSe